! LiNiF (GGA+U, optimized geometry); values from VASP
! **Crystal system**: hexagonal
! **Polymorph energy (0 for the lowest one)**: 0.511 eV/atom
&SYSTEM
  ibrav = 0, nat = 6, ntyp = 3
/
ATOMIC_SPECIES
Ni 58.69 Ni.upf
Li 6.94 Li.upf
F 19.00 F.upf
CELL_PARAMETERS angstrom
2.413 -1.393 0.000
0.000 2.786 0.000
0.000 0.000 10.162
ATOMIC_POSITIONS angstrom
Ni 0.000 0.000 2.908
Ni 0.000 0.000 7.254
Li 1.609 0.000 0.000
Li 1.609 0.000 5.081
F 0.804 1.393 1.243
F 0.804 1.393 8.920

=====

! LiNiF (GGA+U, optimized geometry); values from VASP
! **Crystal system**: cubic
! **Polymorph energy (0 for the lowest one)**: 1.233 eV/atom
&SYSTEM
  ibrav = 0, nat = 3, ntyp = 3
/
ATOMIC_SPECIES
Ni 58.69 Ni.upf
Li 6.94 Li.upf
F 19.00 F.upf
CELL_PARAMETERS angstrom
-3.098 -1.236 1.663
-2.419 2.424 1.472
-3.319 0.531 -1.610
ATOMIC_POSITIONS angstrom
Ni -6.626 1.289 1.144
Li -2.209 0.430 0.381
F 0.000 0.000 0.000

=====

! LiNiF (GGA+U, optimized geometry); values from VASP
! **Crystal system**: monoclinic
! **Polymorph energy (0 for the lowest one)**: 0.000 eV/atom
&SYSTEM
  ibrav = 0, nat = 6, ntyp = 3
/
ATOMIC_SPECIES
Ni 58.69 Ni.upf
Li 6.94 Li.upf
F 19.00 F.upf
CELL_PARAMETERS angstrom
-0.226 0.665 9.765
-1.481 -2.076 0.843
2.019 -1.675 -0.575
ATOMIC_POSITIONS angstrom
Ni 0.812 -1.791 0.222
Ni 1.752 -1.117 7.781
Li -0.904 -1.613 6.163
Li -0.009 -1.692 3.258
F 0.966 -1.374 5.761
F 1.890 -1.444 2.928

=====

! LiNiF (GGA+U, optimized geometry); values from VASP
! **Crystal system**: monoclinic
! **Polymorph energy (0 for the lowest one)**: 0.077 eV/atom
&SYSTEM
  ibrav = 0, nat = 6, ntyp = 3
/
ATOMIC_SPECIES
Ni 58.69 Ni.upf
Li 6.94 Li.upf
F 19.00 F.upf
CELL_PARAMETERS angstrom
-4.324 0.760 -4.495
1.510 -2.949 -1.951
-1.795 -1.864 1.428
ATOMIC_POSITIONS angstrom
Ni -1.211 -2.094 0.334
Ni -3.399 -1.959 -5.352
Li -2.646 -0.754 -2.803
Li -1.963 -3.299 -2.215
F -2.718 -1.826 -1.236
F -1.892 -2.226 -3.782

=====

! LiNi3F (GGA+U, optimized geometry); values from VASP
! **Crystal system**: cubic
! **Polymorph energy (0 for the lowest one)**: 0.000 eV/atom
&SYSTEM
  ibrav = 0, nat = 5, ntyp = 3
/
ATOMIC_SPECIES
Ni 58.69 Ni.upf
Li 6.94 Li.upf
F 19.00 F.upf
CELL_PARAMETERS angstrom
-3.237 -0.391 -2.551
-0.729 -3.787 1.505
-2.476 1.625 2.892
ATOMIC_POSITIONS angstrom
Ni -0.364 -1.894 0.752
Ni -1.238 0.813 1.446
Ni -1.618 -0.195 -1.276
Li -3.221 -1.276 0.923
F 0.000 0.000 0.000

=====

! LiNiF (GGA+U, optimized geometry); values from VASP
! **Crystal system**: hexagonal
! **Polymorph energy (0 for the lowest one)**: 1.257 eV/atom
&SYSTEM
  ibrav = 0, nat = 6, ntyp = 3
/
ATOMIC_SPECIES
Ni 58.69 Ni.upf
Li 6.94 Li.upf
F 19.00 F.upf
CELL_PARAMETERS angstrom
-2.914 0.393 2.159
2.042 -3.014 0.223
4.133 3.171 5.004
ATOMIC_POSITIONS angstrom
Ni 3.490 0.499 4.621
Ni -0.229 0.050 2.764
Li 0.000 0.000 0.000
Li 2.067 1.585 2.502
F 1.423 -1.086 2.119
F 1.838 1.635 5.266

=====

! Li3Ni2F7 (GGA+U, optimized geometry); values from VASP
! **Crystal system**: orthorhombic
&SYSTEM
  ibrav = 0, nat = 24, ntyp = 3
/
ATOMIC_SPECIES
Li 6.94 Li.upf
Ni 58.69 Ni.upf
F 19.00 F.upf
CELL_PARAMETERS angstrom
-1.245 1.891 -4.748
-1.059 -4.815 -1.641
-8.070 3.397 3.470
ATOMIC_POSITIONS angstrom
Li -1.680 -2.219 -4.625
Li -0.544 -0.828 -1.455
Li -5.309 -1.831 -4.021
Li -5.200 2.507 0.593
Li -6.414 0.765 -2.697
Li -4.095 -0.089 -0.731
Ni -7.472 3.400 -1.073
Ni -2.909 -2.917 -1.872
Ni -7.375 0.065 0.487
Ni -3.007 0.418 -3.432
F -4.548 1.074 -2.308
F -5.637 -0.888 0.110
F -3.656 1.353 0.483
F -6.530 -1.167 -2.681
F -2.883 -1.593 -0.339
F -7.066 1.419 -0.956
F -3.680 -1.439 -2.983
F -6.269 1.265 1.687
F -3.417 -2.518 -5.480
F -7.386 3.641 0.929
F -1.450 -0.257 -4.609
F -1.075 -2.332 -2.619
F -8.890 0.580 -2.810
F -1.913 0.543 -1.741

=====

! Li3NiF (GGA+U, optimized geometry); values from VASP
! **Crystal system**: cubic
! **Polymorph energy (0 for the lowest one)**: 0.000 eV/atom
&SYSTEM
  ibrav = 0, nat = 5, ntyp = 3
/
ATOMIC_SPECIES
Ni 58.69 Ni.upf
Li 6.94 Li.upf
F 19.00 F.upf
CELL_PARAMETERS angstrom
3.896 0.000 0.000
0.000 3.896 0.000
0.000 0.000 3.896
ATOMIC_POSITIONS angstrom
Ni 1.948 1.948 1.948
Li 0.000 1.948 0.000
Li 0.000 0.000 1.948
Li 1.948 0.000 0.000
F 0.000 0.000 0.000

=====

In the order shown, the computed total DFT energy (no corrections) values come out to -3.090; -2.368; -3.601; -3.525; -2.092; -2.344; -4.546; -2.740 eV/atom.